Entry 1:
! Sm2TeO6 GGA-PBEsol relaxed; values from VASP
&SYSTEM
  ibrav = 0, nat = 36, ntyp = 3
/
ATOMIC_SPECIES
O 16.00 O.upf
Te 127.60 Te.upf
Sm 150.36 Sm.upf
CELL_PARAMETERS angstrom
5.3618 0.0000 0.0000
0.0000 9.2059 0.0000
0.0000 0.0000 10.0677
ATOMIC_POSITIONS crystal
O 0.2488 0.9123 0.0079
Te 0.5418 0.4951 0.8541
O 0.8322 0.0531 0.2928
O 0.5732 0.8478 0.5237
O 0.7737 0.8880 0.0659
O 0.2737 0.6120 0.9341
O 0.1826 0.8605 0.2608
O 0.7263 0.1120 0.5659
O 0.9268 0.1522 0.0237
O 0.3322 0.4469 0.7072
Sm 0.4635 0.7175 0.1351
O 0.7488 0.5877 0.9921
O 0.3174 0.1395 0.7608
Sm 0.5251 0.1035 0.9615
Sm 0.4749 0.6035 0.5385
Sm 0.9635 0.7825 0.8649
O 0.8174 0.3605 0.2392
Sm 0.0251 0.3965 0.0385
O 0.1851 0.8601 0.6776
Te 0.4582 0.9951 0.6459
O 0.6851 0.6399 0.3224
O 0.8149 0.3601 0.8224
Te 0.9582 0.5049 0.3541
O 0.6826 0.6395 0.7392
Sm 0.9749 0.8965 0.4615
Te 0.0418 0.0049 0.1459
O 0.2263 0.3880 0.4341
O 0.1678 0.5531 0.2072
O 0.6678 0.9469 0.7928
O 0.7512 0.4123 0.4921
O 0.4268 0.3478 0.9763
Sm 0.0365 0.2825 0.6351
O 0.3149 0.1399 0.1776
Sm 0.5365 0.2175 0.3649
O 0.2512 0.0877 0.5079
O 0.0732 0.6522 0.4763
! Uncorrected formation energy, eV per atom: -2.55
! Spin magnetization, μB per atom: 0.000

***

Entry 2:
! Sm2TeO6 GGA-PBEsol relaxed; values from VASP
&SYSTEM
  ibrav = 0, nat = 27, ntyp = 3
/
ATOMIC_SPECIES
Sm 150.36 Sm.upf
O 16.00 O.upf
Te 127.60 Te.upf
CELL_PARAMETERS angstrom
5.3348 0.0000 0.0000
0.0000 9.1128 0.0000
0.0000 -4.5564 7.8919
ATOMIC_POSITIONS crystal
Sm 0.5000 0.6088 0.0000
Sm 0.5000 0.0000 0.6088
O 0.8022 0.5443 0.1350
O 0.7132 0.8684 0.0631
O 0.7132 0.9369 0.8053
O 0.7742 0.2337 0.7672
O 0.2868 0.8053 0.9369
Sm 0.5000 0.3912 0.3912
O 0.7742 0.2328 0.4665
Sm 0.0000 0.2712 0.0000
Te 0.5000 0.0000 0.0000
O 0.2258 0.4665 0.2328
Sm 0.0000 0.0000 0.2712
O 0.2868 0.0631 0.8684
O 0.7742 0.5335 0.7663
O 0.2868 0.1316 0.1947
O 0.2258 0.7663 0.5335
Te 0.0121 0.6667 0.3333
Sm 0.0000 0.7288 0.7288
O 0.2258 0.7672 0.2337
O 0.1978 0.4557 0.5907
O 0.8022 0.8650 0.4093
O 0.8022 0.5907 0.4557
O 0.1978 0.1350 0.5443
Te 0.9879 0.3333 0.6667
O 0.7132 0.1947 0.1316
O 0.1978 0.4093 0.8650
! Uncorrected formation energy, eV per atom: -2.52
! Spin magnetization, μB per atom: 0.000

***

Entry 3:
! Sm2TiO5 GGA-PBEsol relaxed; values from VASP
&SYSTEM
  ibrav = 0, nat = 32, ntyp = 3
/
ATOMIC_SPECIES
Sm 150.36 Sm.upf
O 16.00 O.upf
Ti 47.87 Ti.upf
CELL_PARAMETERS angstrom
-1.7897 0.6948 3.0983
-6.2996 -3.0390 -2.9575
4.1728 -14.0654 5.5647
ATOMIC_POSITIONS crystal
Sm 0.7500 0.8482 0.0727
O 0.7500 0.6178 0.9533
O 0.2500 0.2728 0.6837
Sm 0.2500 0.1518 0.9273
O 0.7500 0.0770 0.3538
Ti 0.2500 0.6508 0.9151
O 0.2500 0.4230 0.8538
O 0.7500 0.6176 0.6687
O 0.7500 0.2272 0.1837
O 0.7500 0.1395 0.0161
O 0.2500 0.3824 0.3313
O 0.2500 0.8822 0.4533
O 0.2500 0.3605 0.5161
Ti 0.7500 0.3492 0.0849
O 0.7500 0.1178 0.5467
Sm 0.7500 0.8880 0.7379
O 0.7500 0.5770 0.1462
O 0.7500 0.1176 0.8313
O 0.7500 0.7272 0.3163
O 0.7500 0.6395 0.4839
O 0.2500 0.3822 0.0467
Sm 0.2500 0.6518 0.5727
Sm 0.7500 0.3880 0.7621
O 0.2500 0.8605 0.9839
O 0.2500 0.7728 0.8163
O 0.2500 0.8824 0.1687
Ti 0.7500 0.8492 0.4151
Sm 0.7500 0.3482 0.4273
Ti 0.2500 0.1508 0.5849
Sm 0.2500 0.1120 0.2621
Sm 0.2500 0.6120 0.2379
O 0.2500 0.9230 0.6462
! Uncorrected formation energy, eV per atom: -3.36
! Spin magnetization, μB per atom: 0.000

***

Entry 4:
! SmTlO3 GGA-PBEsol relaxed; values from VASP
&SYSTEM
  ibrav = 0, nat = 20, ntyp = 3
/
ATOMIC_SPECIES
O 16.00 O.upf
Tl 204.38 Tl.upf
Sm 150.36 Sm.upf
CELL_PARAMETERS angstrom
5.6228 0.0000 0.0000
0.0000 6.0023 0.0000
0.0000 0.0000 8.4998
ATOMIC_POSITIONS crystal
O 0.1910 0.1906 0.9184
O 0.6547 0.0763 0.7500
O 0.8090 0.8094 0.4184
O 0.1910 0.1906 0.5816
O 0.8453 0.5763 0.7500
O 0.3090 0.6906 0.9184
O 0.6910 0.3094 0.0816
O 0.6910 0.3094 0.4184
Tl 0.0000 0.5000 0.0000
Tl 0.5000 0.0000 0.5000
Sm 0.5277 0.5697 0.2500
O 0.3090 0.6906 0.5816
Sm 0.9723 0.0697 0.2500
Tl 0.0000 0.5000 0.5000
O 0.1547 0.4237 0.2500
O 0.8090 0.8094 0.0816
O 0.3453 0.9237 0.2500
Sm 0.4723 0.4303 0.7500
Tl 0.5000 0.0000 0.0000
Sm 0.0277 0.9303 0.7500
! Uncorrected formation energy, eV per atom: -2.03
! Spin magnetization, μB per atom: 0.000

***

Entry 5:
! SmTmO3 GGA-PBEsol relaxed; values from VASP
&SYSTEM
  ibrav = 0, nat = 20, ntyp = 3
/
ATOMIC_SPECIES
Tm 168.93 Tm.upf
Sm 150.36 Sm.upf
O 16.00 O.upf
CELL_PARAMETERS angstrom
-1.4326 5.4642 -0.0496
-4.5948 -1.2366 -3.5107
-4.7630 -1.1884 6.6524
ATOMIC_POSITIONS crystal
Tm 0.0000 0.5000 0.0000
Sm 0.0211 0.9429 0.7500
Sm 0.9789 0.0571 0.2500
Tm 0.5000 0.0000 0.5000
O 0.3090 0.6939 0.9256
O 0.3090 0.6939 0.5744
O 0.8609 0.5660 0.7500
O 0.6910 0.3061 0.0744
Sm 0.5211 0.5571 0.2500
O 0.8090 0.8061 0.4256
O 0.6910 0.3061 0.4256
Tm 0.0000 0.5000 0.5000
O 0.8090 0.8061 0.0744
O 0.3609 0.9340 0.2500
Sm 0.4789 0.4429 0.7500
O 0.1391 0.4340 0.2500
O 0.6391 0.0660 0.7500
Tm 0.5000 0.0000 0.0000
O 0.1910 0.1939 0.9256
O 0.1910 0.1939 0.5744
! Uncorrected formation energy, eV per atom: -3.56
! Spin magnetization, μB per atom: 0.000

***

Entry 6:
! Sm2V2O7 GGA-PBEsol relaxed; values from VASP
&SYSTEM
  ibrav = 0, nat = 22, ntyp = 3
/
ATOMIC_SPECIES
O 16.00 O.upf
Sm 150.36 Sm.upf
V 50.94 V.upf
CELL_PARAMETERS angstrom
-3.6010 5.3250 -3.0858
-6.6085 1.5648 2.1735
-1.2344 6.0278 3.6037
ATOMIC_POSITIONS crystal
O 0.5000 0.5000 0.5000
Sm 0.6250 0.6250 0.6250
O 0.1995 0.8005 0.1995
Sm 0.6250 0.6250 0.1250
V 0.1250 0.1250 0.6250
V 0.1250 0.6250 0.1250
O 0.1995 0.1995 0.8005
O 0.8005 0.8005 0.1995
O 0.7500 0.7500 0.7500
O 0.0505 0.4495 0.4495
Sm 0.6250 0.1250 0.6250
O 0.0505 0.0505 0.4495
O 0.1995 0.8005 0.8005
O 0.0505 0.4495 0.0505
O 0.8005 0.1995 0.1995
V 0.6250 0.1250 0.1250
O 0.4495 0.0505 0.4495
O 0.4495 0.4495 0.0505
V 0.1250 0.1250 0.1250
Sm 0.1250 0.6250 0.6250
O 0.8005 0.1995 0.8005
O 0.4495 0.0505 0.0505
! Uncorrected formation energy, eV per atom: -2.92
! Spin magnetization, μB per atom: 0.182

***

Entry 7:
! SmVO3 GGA-PBEsol relaxed; values from VASP
&SYSTEM
  ibrav = 0, nat = 20, ntyp = 3
/
ATOMIC_SPECIES
Sm 150.36 Sm.upf
O 16.00 O.upf
V 50.94 V.upf
CELL_PARAMETERS angstrom
-1.9457 -4.5347 -1.9409
2.5204 -2.8422 4.1138
-6.2023 0.7987 4.3518
ATOMIC_POSITIONS crystal
Sm 0.0165 0.5631 0.2500
Sm 0.9835 0.4369 0.7500
O 0.1983 0.2976 0.0489
O 0.8017 0.7024 0.5489
O 0.6983 0.2024 0.5489
O 0.0944 0.0284 0.7500
O 0.9056 0.9716 0.2500
O 0.6983 0.2024 0.9511
O 0.4056 0.5284 0.7500
V 0.5000 0.5000 0.5000
Sm 0.4835 0.0631 0.2500
V 0.0000 0.0000 0.0000
V 0.0000 0.0000 0.5000
O 0.3017 0.7976 0.0489
O 0.8017 0.7024 0.9511
Sm 0.5165 0.9369 0.7500
V 0.5000 0.5000 0.0000
O 0.3017 0.7976 0.4511
O 0.5944 0.4716 0.2500
O 0.1983 0.2976 0.4511
! Uncorrected formation energy, eV per atom: -2.94
! Spin magnetization, μB per atom: 0.400

***

Entry 8:
! Sm2W3O12 GGA-PBEsol relaxed; values from VASP
&SYSTEM
  ibrav = 0, nat = 68, ntyp = 3
/
ATOMIC_SPECIES
Sm 150.36 Sm.upf
O 16.00 O.upf
W 183.84 W.upf
CELL_PARAMETERS angstrom
-2.0940 -3.5600 -9.3656
5.0589 -8.7235 2.1849
-12.1967 -5.8361 4.9391
ATOMIC_POSITIONS crystal
Sm 0.7502 0.4704 0.6173
O 0.1432 0.2190 0.1553
O 0.0596 0.5839 0.8619
O 0.0768 0.6638 0.4204
O 0.8567 0.7188 0.1550
O 0.6257 0.3603 0.0627
O 0.8753 0.6388 0.5631
O 0.1840 0.4419 0.0353
W 0.0246 0.2500 0.4998
O 0.3164 0.5580 0.5352
O 0.8164 0.9420 0.0352
O 0.1836 0.0580 0.9648
O 0.4232 0.1638 0.0796
O 0.9402 0.0842 0.8620
Sm 0.2498 0.5296 0.3827
W 0.5246 0.2500 0.9998
O 0.4404 0.0839 0.6381
O 0.9404 0.4161 0.1381
W 0.8875 0.8881 0.1414
Sm 0.7496 0.5293 0.1172
O 0.5768 0.8362 0.9204
Sm 0.2504 0.4707 0.8828
O 0.1257 0.1397 0.5627
O 0.8568 0.7810 0.8447
W 0.9754 0.7500 0.5002
O 0.1433 0.2812 0.8450
O 0.4239 0.3372 0.9201
O 0.6827 0.0239 0.7363
O 0.0761 0.8372 0.5799
O 0.5596 0.9161 0.3619
O 0.9239 0.1628 0.4201
O 0.3567 0.7812 0.6550
W 0.1125 0.1119 0.8586
O 0.8743 0.8603 0.4373
O 0.6247 0.1388 0.9369
O 0.1826 0.0242 0.7637
Sm 0.7498 0.9704 0.8827
O 0.3160 0.9419 0.4647
O 0.3174 0.5242 0.7363
O 0.1827 0.4761 0.2363
O 0.3568 0.7190 0.3447
O 0.3743 0.6397 0.9373
O 0.3173 0.9761 0.2637
O 0.3753 0.8612 0.0631
O 0.4402 0.4158 0.3620
Sm 0.2502 0.0296 0.1173
O 0.1247 0.3612 0.4369
W 0.3874 0.8883 0.3584
O 0.6840 0.0581 0.5353
O 0.5761 0.6628 0.0799
W 0.1126 0.3883 0.1416
O 0.0598 0.9158 0.1380
O 0.6826 0.4758 0.2637
W 0.8874 0.6117 0.8584
O 0.6836 0.4420 0.4648
O 0.6433 0.2188 0.3450
W 0.6125 0.3881 0.3586
W 0.3875 0.6119 0.6414
O 0.8173 0.5239 0.7637
O 0.8174 0.9758 0.2363
W 0.4754 0.7500 0.0002
O 0.5598 0.5842 0.6380
O 0.9232 0.3362 0.5796
O 0.6432 0.2810 0.6553
Sm 0.2496 0.9707 0.6172
Sm 0.7504 0.0293 0.3828
O 0.8160 0.5581 0.9647
W 0.6126 0.1117 0.6416
! Uncorrected formation energy, eV per atom: -2.57
! Spin magnetization, μB per atom: 0.000

***

> The highest uncorrected formation energy belongs to which entry?

SmTlO3